# 1
The following is a PBE calculation of a relaxed structure of As2ICl2, from Alexandria via LeMat-Bulk.

Unit cell a=10.3461 b=10.3461 c=2.9890 alpha=90.00 beta=90.00 gamma=90.00
Site moments in Bohr magnetons follow the coordinates.
Element x y z (fractional)
As 0.7402 0.7598 0.5000  0.37
As 0.7598 0.2598 0.5000  0.34
As 0.2402 0.7402 0.5000  0.34
As 0.2598 0.2402 0.5000  0.37
I 0.0000 0.0000 0.0000  0.08
I 0.5000 0.5000 0.0000  0.08
Cl 0.6245 0.1245 0.0000  0.02
Cl 0.1245 0.3755 0.0000  0.03
Cl 0.8755 0.6245 0.0000  0.03
Cl 0.3755 0.8755 0.0000  0.02

Computed properties:
formation energy (no corrections) = 0.396 eV/atom
density of states at the Fermi level = 5.65 states/eV per cell
ΔE to the lowest computed polymorph = 257 meV per atom
space group = P4/mbm, No. 127
M_tot = 1.67 μB/f.u.

# 2
The following is a PBE calculation of a relaxed structure of CuAgOs2, from Alexandria via LeMat-Bulk.

Unit cell a=5.2695 b=5.2695 c=5.2695 alpha=149.00 beta=127.86 gamma=61.91
Element x y z (fractional)
Os 0.7634 0.2634 0.5000
Os 0.9989 0.9989 0.0000
Cu 0.2453 0.7453 0.5000
Ag 0.4924 0.4924 0.0000

Computed properties:
density of states at the Fermi level = 2.96 states/eV per cell
ΔH_f (0 K) = 0.688 eV per atom
ΔE to the lowest computed polymorph = 379 meV per atom
space group = Imm2, No. 44
M_tot = 0.00 μB/f.u.

# 3
The following is a PBE calculation of a relaxed structure of LaCdRe2, from Alexandria via LeMat-Bulk.

Unit cell a=10.6847 b=10.6847 c=10.6847 alpha=15.56 beta=15.56 gamma=15.56
Element x y z (fractional)
Cd 0.2500 0.2500 0.2500
La 0.7500 0.7500 0.7500
Re 0.5063 0.5063 0.5063
Re 0.9937 0.9937 0.9937

Computed properties:
density of states at the Fermi level = 4.76 states/eV per cell
ΔH_f (0 K) = 0.883 eV per atom
space group = R-3m, No. 166
M_tot = 0.00 μB/f.u.

# 4
The following is a PBE calculation of a relaxed structure of LaNd2VN4, from Alexandria via LeMat-Bulk.

Unit cell a=3.4925 b=6.2947 c=12.2554 alpha=90.00 beta=90.00 gamma=106.11
Element x y z (fractional)
N 0.4159 0.8318 0.7500
N 0.2673 0.5346 0.3665
N 0.0000 0.0000 0.5000
N 0.5841 0.1682 0.2500
N 0.0000 0.0000 0.0000
N 0.7327 0.4654 0.6335
N 0.7327 0.4654 0.8665
N 0.2673 0.5346 0.1335
Nd 0.3689 0.7379 0.5426
Nd 0.6311 0.2621 0.4574
Nd 0.3689 0.7379 0.9574
Nd 0.6311 0.2621 0.0426
V 0.1779 0.3558 0.2500
V 0.8221 0.6442 0.7500
La 0.9171 0.8342 0.2500
La 0.0829 0.1658 0.7500

Computed properties:
formation energy (no corrections) = -1.205 eV/atom
density of states at the Fermi level = 7.10 states/eV per cell
space group = Cmcm, No. 63
M_tot = 0.00 μB/f.u.